{
  "formula": "LaYPd2Cl",
  "functional": "SCAN",
  "state": "single point on PBEsol structure",
  "crystal_system": "tetragonal",
  "density_g_cm3": 6.17,
  "e_form_raw_mev_per_atom": -717.5,
  "spacegroup": "P4/mmm (123)",
  "energy_ev_per_atom": -29.61,
  "n_ef_per_ev_atom": 0.5031,
  "lattice": [[-1.619, -1.042, 4.595], [4.791, -0.555, 1.562], [0.185, 4.927, 1.183]],
  "species": ["Pd", "Pd", "Cl", "La", "Y"],
  "fractional_positions": [[0.000, 0.500, 0.000], [0.000, 0.000, 0.500], [0.500, 0.000, 0.000], [0.500, 0.500, 0.500], [0.000, 0.000, 0.000]]
}